DFT (PBE) results for crystalline Nd11In9Ga4 at its relaxed geometry.

The structure in CIF format:
```
data_Nd11In9Ga4
_chemical_formula_sum 'Nd22 In18 Ga8'
_cell_length_a 14.251
_cell_length_b 21.293
_cell_length_c 4.355
_cell_angle_alpha 90.00
_cell_angle_beta 90.00
_cell_angle_gamma 90.00
_symmetry_space_group_name_H-M 'C m m m'
_symmetry_Int_Tables_number 65
_symmetry_space_group_name_Hall '-C 2 2'
loop_
_atom_site_label
_atom_site_type_symbol
_atom_site_fract_x
_atom_site_fract_y
_atom_site_fract_z
Nd1 Nd 0.000 0.000 0.000
Nd2 Nd 0.000 0.170 0.000
Nd3 Nd 0.000 0.369 0.000
Nd4 Nd 0.203 0.500 0.000
Nd5 Nd 0.242 0.171 0.000
In1 In 0.000 0.500 0.500
In2 In 0.110 0.264 0.500
In3 In 0.138 0.075 0.500
Ga1 Ga 0.150 0.401 0.500
```

## Properties
**Density of states at the Fermi level**: 14.96 states/eV/f.u.
**Total DFT energy (no corrections)**: -4.24 eV/atom
**Energy of formation**: -0.5190 eV/atom
**Magnetization**: 0.000 μB/atom